Material: CrGeAsF2
Method: DFT, PBE with a Hubbard U
State: optimized geometry

a = 4.0694 Å, b = 5.6042 Å, c = 4.0694 Å
α = 90.00°, β = 90.00°, γ = 90.00°
Atoms (fractional coordinates):
Cr 0.5000 0.5000 0.5000
As 0.0000 0.0000 0.0000
Ge 0.0000 0.5000 0.0000
F 0.0000 0.0000 0.5000
F 0.5000 0.0000 0.0000

Density = 4.3 g/cm3
SG = No. 123
Density of states at the Fermi level = 1.18 states/eV per cell
Uncorrected energy = -4.777 eV per atom
Crystal system = tetragonal